Entry 1:
VASP calculation (PBE-GGA) on a geometry-optimized Y7Zn2Pd2 structure.

abc: 7.753 10.958 7.157
angles: 90.00 90.00 90.00
Space group Cmmm (No. 65)
Symmetry-distinct sites (fractional):
Y 0.000 0.000 0.000 (multiplicity 2)
Y 0.000 0.500 0.261 (multiplicity 4)
Y 0.250 0.250 0.267 (multiplicity 8)
Zn 0.167 0.000 0.500 (multiplicity 4)
Pd 0.000 0.293 0.000 (multiplicity 4)

## Properties
The calculation puts the formation energy at -0.26 eV/atom.

---

Entry 2:
VASP calculation (PBE-GGA) on a geometry-optimized Ba2NpCl3O3 structure.

abc: 8.0297 8.0297 3.4844
angles: 90.00 90.00 120.00
Space group P-62m (No. 189)
Symmetry-distinct sites (fractional):
Ba 0.3333 0.6667 0.0000 (multiplicity 2)
Np 0.0000 0.0000 0.5000 (multiplicity 1)
Cl 0.0000 0.4105 0.5000 (multiplicity 3)
O 0.0000 0.8146 0.0000 (multiplicity 3)

## Properties
The raw formation energy is -2.238 eV/atom.

---

Entry 3:
VASP calculation (PBE-GGA) on a geometry-optimized NaTm2PuTe4 structure.

abc: 7.596 4.350 7.704
angles: 90.00 109.01 90.00
Space group P2/m (No. 10)
Symmetry-distinct sites (fractional):
Na 0.000 0.000 0.000 (multiplicity 1)
Tm 0.000 0.500 0.500 (multiplicity 1)
Tm 0.500 0.000 0.500 (multiplicity 1)
Pu 0.500 0.500 0.000 (multiplicity 1)
Te 0.246 0.000 0.740 (multiplicity 2)
Te 0.253 0.500 0.263 (multiplicity 2)

## Properties
The raw formation energy is -1.209 eV/atom.

---

Entry 4:
VASP calculation (PBE-GGA) on a geometry-optimized LaCoS2 structure.

abc: 6.729 6.729 6.729
angles: 90.00 90.00 90.00
Space group Fm-3m (No. 225)
Symmetry-distinct sites (fractional):
La 0.000 0.000 0.000 (multiplicity 4)
Co 0.000 0.000 0.500 (multiplicity 4)
S 0.250 0.250 0.250 (multiplicity 8)

## Properties
The relative energy among the computed polymorphs is 155 meV per atom. The raw formation energy is -0.878 eV/atom.

---

Entry 5:
VASP calculation (PBE-GGA) on a geometry-optimized Co2AgIr structure.

abc: 2.684 3.677 5.590
angles: 90.00 90.10 90.00
Space group P2/m (No. 10)
Symmetry-distinct sites (fractional):
Co 0.000 0.000 0.217 (multiplicity 2)
Ag 0.500 0.500 0.500 (multiplicity 1)
Ir 0.500 0.500 0.000 (multiplicity 1)

## Properties
The calculation puts the formation energy at 0.28 eV/atom.

---

Entry 6:
VASP calculation (PBE-GGA) on a geometry-optimized Sm2AgSb3 structure.

abc: 8.551 8.551 16.782
angles: 90.00 90.00 90.00
Space group P4/mmm (No. 123)
Symmetry-distinct sites (fractional):
Sm 0.000 0.000 0.175 (multiplicity 2)
Ag 0.000 0.000 0.500 (multiplicity 1)
Sb 0.000 0.000 0.000 (multiplicity 1)
Sb 0.000 0.000 0.344 (multiplicity 2)

## Properties
The raw formation energy is 1.177 eV/atom.